Entry 1:
The following is a DFT calculation (GGA-PBE) of a relaxed Er12Ga6Tc crystal.

a = 8.310 Å, b = 8.310 Å, c = 8.310 Å
α = 99.27°, β = 99.27°, γ = 99.27°
Element x y z (fractional)
Ga  0.304  0.136  0.624
Er  0.963  0.318  0.068
Er  0.682  0.932  0.037
Tc  0.000  0.000  0.000
Ga  0.624  0.304  0.136
Er  0.432  0.818  0.571
Er  0.568  0.182  0.429
Er  0.932  0.037  0.682
Er  0.318  0.068  0.963
Er  0.037  0.682  0.932
Ga  0.376  0.696  0.864
Er  0.429  0.568  0.182
Er  0.818  0.571  0.432
Ga  0.864  0.376  0.696
Er  0.571  0.432  0.818
Ga  0.696  0.864  0.376
Ga  0.136  0.624  0.304
Er  0.182  0.429  0.568
Er  0.068  0.963  0.318

Summary:
- symmetry = R-3 (148)
- volume (A^3/atom) = 28.87
- energy of formation (eV/atom) = -0.163



Entry 2:
The following is a DFT calculation (GGA-PBE) of a relaxed Er8GaTc2 crystal.

a = 5.417 Å, b = 7.757 Å, c = 7.757 Å
α = 112.01°, β = 98.32°, γ = 98.32°
Element x y z (fractional)
Er  0.583  0.333  0.067
Er  0.583  0.067  0.333
Tc  0.500  0.319  0.687
Er  0.417  0.939  0.673
Er  0.000  0.764  0.242
Er  0.417  0.673  0.939
Er  0.808  0.627  0.627
Er  0.000  0.242  0.764
Er  0.191  0.379  0.379
Ga  0.002  0.003  0.003
Tc  0.500  0.687  0.319

Summary:
- symmetry = Cm (8)
- volume (A^3/atom) = 26.54
- energy of formation (eV/atom) = -0.126



Entry 3:
The following is a DFT calculation (GGA-PBE) of a relaxed Er2Ga3Tc crystal.

a = 5.468 Å, b = 5.468 Å, c = 5.372 Å
α = 89.96°, β = 120.55°, γ = 120.01°
Element x y z (fractional)
Ga  0.500  0.500  0.500
Er  0.258  0.629  0.886
Er  0.742  0.371  0.114
Tc  0.000  0.000  0.000
Ga  0.000  0.000  0.500
Ga  0.500  0.000  0.500

Summary:
- relative energy among the computed polymorphs (meV/atom) = 0
- symmetry = R-3m (166)
- volume (A^3/atom) = 18.77
- energy of formation (eV/atom) = -0.533



Entry 4:
The following is a DFT calculation (GGA-PBE) of a relaxed ErGa3Tc3 crystal.

a = 6.757 Å, b = 6.757 Å, c = 6.757 Å
α = 90.00°, β = 90.00°, γ = 90.00°
Each line ends with the local moment (μB).
Element x y z (fractional)
Ga  0.000  0.500  0.750  -0.03
Er  0.500  0.500  0.500  -0.08
Ga  0.750  0.000  0.500  -0.03
Tc  0.500  0.000  0.250  0.45
Tc  0.000  0.250  0.500  0.45
Ga  0.250  0.000  0.500  -0.03
Tc  0.750  0.500  0.000  0.45
Tc  0.000  0.750  0.500  0.45
Er  0.000  0.000  0.000  -0.08
Tc  0.250  0.500  0.000  0.45
Ga  0.000  0.500  0.250  -0.03
Tc  0.500  0.000  0.750  0.45
Ga  0.500  0.750  0.000  -0.03
Ga  0.500  0.250  0.000  -0.03

Summary:
- symmetry = Pm-3n (223)
- volume (A^3/atom) = 22.03
- energy of formation (eV/atom) = 0.753



no.,size of the total moment (μB per formula unit)
1,0.01
2,0.00
3,0.00
4,1.24